Crystalline Ba5Bi2PCl at its relaxed geometry, computed with PBE.

Values from the calculation:
- ΔE_f (raw) (eV per atom) = -1.19

Cell: 10.5584 10.5584 14.9626 Å, 90.00 90.00 152.54°
With the nearest neighbours (Å) after each atom.
Fractional coordinates of all 18 atoms:
Ba 0.0017 0.9983 0.5000  1 Cl 3.01
Ba 0.1366 0.8634 0.7225  1 P 3.16, 1 Cl 3.50
Ba 0.1953 0.8047 0.0954  2 P 3.25
Ba 0.2243 0.7757 0.3818  2 P 3.37, 1 Bi 3.56
Ba 0.4334 0.5666 0.7957  2 Cl 3.00, 1 P 3.08
Ba 0.5666 0.4334 0.2957  2 Cl 3.00, 1 P 3.08
Ba 0.7757 0.2243 0.8818  2 P 3.37, 1 Bi 3.56
Ba 0.8047 0.1953 0.5954  2 P 3.25
Ba 0.8634 0.1366 0.2225  1 P 3.16, 1 Cl 3.50
Ba 0.9983 0.0017 0.0000  1 Cl 3.01
Bi 0.3686 0.6314 0.0225  8 Ba 3.64-3.90
Bi 0.3967 0.6033 0.4060  6 Ba 3.56-3.86
Bi 0.6033 0.3967 0.9060  6 Ba 3.56-3.86
Bi 0.6314 0.3686 0.5225  8 Ba 3.64-3.90
P 0.2905 0.7095 0.7322  6 Ba 3.08-3.37
P 0.7095 0.2905 0.2322  6 Ba 3.08-3.37
Cl 0.0331 0.9669 0.1952  3 Ba 3.00-3.01
Cl 0.9669 0.0331 0.6952  3 Ba 3.00-3.01

Crystalline BeIrRh at its relaxed geometry, computed with PBE.

Values from the calculation:
- energy relative to the lowest polymorph listed for this composition (eV/atom) = 0.000

Cell: 2.7743 2.7743 9.4230 Å, 90.00 90.00 90.00°
With the nearest neighbours (Å) after each atom.
Fractional coordinates of all 6 atoms:
Be 0.0000 0.0000 0.0000  4 Ir 2.39, 4 Rh 2.41
Be 0.5000 0.5000 0.5000  4 Ir 2.39, 4 Rh 2.41
Ir 0.0000 0.0000 0.3556  4 Be 2.39
Ir 0.5000 0.5000 0.8556  4 Be 2.39
Rh 0.0000 0.0000 0.6489  4 Be 2.41
Rh 0.5000 0.5000 0.1489  4 Be 2.41

Crystalline CeNdHoAl at its relaxed geometry, computed with PBE.

Values from the calculation:
- raw total energy (eV/atom) = -4.773

Cell: 7.6352 7.6352 7.6352 Å, 90.00 90.00 90.00°
With the nearest neighbours (Å) after each atom.
Fractional coordinates of all 16 atoms:
Ce 0.0000 0.0000 0.0000  4 Ho 3.31, 4 Al 3.31
Ce 0.0000 0.5000 0.5000  4 Ho 3.31, 4 Al 3.31
Ce 0.5000 0.0000 0.5000  4 Ho 3.31, 4 Al 3.31
Ce 0.5000 0.5000 0.0000  4 Ho 3.31, 4 Al 3.31
Nd 0.0000 0.0000 0.5000  4 Al 3.31, 4 Ho 3.31
Nd 0.0000 0.5000 0.0000  4 Al 3.31, 4 Ho 3.31
Nd 0.5000 0.0000 0.0000  4 Al 3.31, 4 Ho 3.31
Nd 0.5000 0.5000 0.5000  4 Al 3.31, 4 Ho 3.31
Ho 0.2500 0.2500 0.2500  4 Ce 3.31, 4 Nd 3.31
Ho 0.2500 0.7500 0.7500  4 Nd 3.31, 4 Ce 3.31
Ho 0.7500 0.2500 0.7500  4 Nd 3.31, 4 Ce 3.31
Ho 0.7500 0.7500 0.2500  4 Nd 3.31, 4 Ce 3.31
Al 0.2500 0.2500 0.7500  4 Ce 3.31, 4 Nd 3.31
Al 0.2500 0.7500 0.2500  4 Ce 3.31, 4 Nd 3.31
Al 0.7500 0.2500 0.2500  4 Ce 3.31, 4 Nd 3.31
Al 0.7500 0.7500 0.7500  4 Ce 3.31, 4 Nd 3.31

Crystalline K5H3S5O14 at its relaxed geometry, computed with PBE.

Values from the calculation:
- raw total energy (eV/atom) = -5.392

Cell: 10.8339 10.8339 15.0828 Å, 104.89 104.89 32.46°
With the nearest neighbours (Å) after each atom.
Fractional coordinates of all 54 atoms:
K 0.0000 0.0000 0.0000  6 O 2.72-2.75
K 0.0000 0.0000 0.5000  8 O 2.87-3.03
K 0.2053 0.2053 0.1286  7 O 2.83-2.98
K 0.2242 0.2242 0.6183  5 O 2.82-2.91
K 0.4121 0.4121 0.2821  7 O 2.78-2.88
K 0.4278 0.4278 0.8018  7 O 2.81-3.05
K 0.5722 0.5722 0.1982  7 O 2.81-3.05
K 0.5879 0.5879 0.7179  7 O 2.78-2.88
K 0.7758 0.7758 0.3817  5 O 2.82-2.91
K 0.7947 0.7947 0.8714  7 O 2.83-2.98
H 0.1149 0.1149 0.8519  1 S 1.37
H 0.3275 0.3275 0.0197  1 S 1.36
H 0.4097 0.4097 0.5735  1 S 1.36
H 0.5903 0.5903 0.4265  1 S 1.36
H 0.6725 0.6725 0.9803  1 S 1.36
H 0.8851 0.8851 0.1481  1 S 1.37
S 0.0418 0.0418 0.2883  3 O 1.49
S 0.1581 0.1581 0.3392  2 O 1.51
S 0.1802 0.1802 0.8503  1 H 1.37, 3 O 1.46-1.47
S 0.3705 0.3705 0.4853  1 H 1.36, 3 O 1.46-1.48
S 0.3912 0.3912 0.0123  1 H 1.36, 3 O 1.47-1.48
S 0.6088 0.6088 0.9877  1 H 1.36, 3 O 1.47-1.48
S 0.6295 0.6295 0.5147  1 H 1.36, 3 O 1.46-1.48
S 0.8198 0.8198 0.1497  1 H 1.37, 3 O 1.46-1.47
S 0.8419 0.8419 0.6608  2 O 1.51
S 0.9582 0.9582 0.7117  3 O 1.49
O 0.0140 0.6093 0.1999  1 S 1.47
O 0.0256 0.0256 0.1862  1 S 1.49
O 0.0323 0.6234 0.7094  1 S 1.51
O 0.1861 0.7780 0.6749  1 S 1.49
O 0.1866 0.5915 0.4433  1 S 1.48
O 0.1952 0.5982 0.9598  1 S 1.48
O 0.2190 0.2190 0.9470  1 S 1.46
O 0.2220 0.8139 0.3251  1 S 1.49
O 0.3013 0.3013 0.4907  1 S 1.46
O 0.3766 0.9677 0.2906  1 S 1.51
O 0.3907 0.9860 0.8001  1 S 1.47
O 0.4018 0.8048 0.0402  1 S 1.48
O 0.4085 0.8134 0.5567  1 S 1.48
O 0.4352 0.4352 0.1063  1 S 1.47
O 0.5648 0.5648 0.8937  1 S 1.47
O 0.5915 0.1866 0.4433  1 S 1.48
O 0.5982 0.1952 0.9598  1 S 1.48
O 0.6093 0.0140 0.1999  1 S 1.47
O 0.6234 0.0323 0.7094  1 S 1.51
O 0.6987 0.6987 0.5093  1 S 1.46
O 0.7780 0.1861 0.6749  1 S 1.49
O 0.7810 0.7810 0.0530  1 S 1.46
O 0.8048 0.4018 0.0402  1 S 1.48
O 0.8134 0.4085 0.5567  1 S 1.48
O 0.8139 0.2220 0.3251  1 S 1.49
O 0.9677 0.3766 0.2906  1 S 1.51
O 0.9744 0.9744 0.8138  1 S 1.49
O 0.9860 0.3907 0.8001  1 S 1.47

Crystalline SrNi2Au at its relaxed geometry, computed with PBE.

Values from the calculation:
- raw total energy (eV/atom) = -4.084

Cell: 3.8758 3.9228 5.4338 Å, 90.00 110.84 90.00°
With the nearest neighbours (Å) after each atom.
Fractional coordinates of all 4 atoms:
Sr 0.0000 0.0000 0.0000  7 Ni 2.76-3.03
Ni 0.2739 0.0000 0.5428  2 Ni 2.29
Ni 0.3883 0.5000 0.7764  2 Ni 2.29
Au 0.7093 0.5000 0.4168  6 Ni 2.66-2.84

Crystalline CaIn2Te at its relaxed geometry, computed with PBE.

Values from the calculation:
- ΔE_f (raw) (eV per atom) = -0.37

Cell: 7.7434 7.7434 7.7434 Å, 90.00 90.00 90.00°
With the nearest neighbours (Å) after each atom.
Fractional coordinates of all 16 atoms:
Ca 0.0000 0.0000 0.0000  4 Te 3.35, 4 In 3.35
Ca 0.0000 0.5000 0.5000  4 Te 3.35, 4 In 3.35
Ca 0.5000 0.0000 0.5000  4 Te 3.35, 4 In 3.35
Ca 0.5000 0.5000 0.0000  4 Te 3.35, 4 In 3.35
In 0.0000 0.0000 0.5000  4 In 3.35, 4 Te 3.35
In 0.0000 0.5000 0.0000  4 In 3.35, 4 Te 3.35
In 0.2500 0.2500 0.7500  4 In 3.35, 4 Ca 3.35
In 0.2500 0.7500 0.2500  4 In 3.35, 4 Ca 3.35
In 0.5000 0.0000 0.0000  4 In 3.35, 4 Te 3.35
In 0.5000 0.5000 0.5000  4 In 3.35, 4 Te 3.35
In 0.7500 0.2500 0.2500  4 In 3.35, 4 Ca 3.35
In 0.7500 0.7500 0.7500  4 In 3.35, 4 Ca 3.35
Te 0.2500 0.2500 0.2500  4 In 3.35, 4 Ca 3.35
Te 0.2500 0.7500 0.7500  4 In 3.35, 4 Ca 3.35
Te 0.7500 0.2500 0.7500  4 In 3.35, 4 Ca 3.35
Te 0.7500 0.7500 0.2500  4 In 3.35, 4 Ca 3.35

Crystalline NiW3Se at its relaxed geometry, computed with PBE.

Values from the calculation:
- ΔE_f (raw) (eV per atom) = 1.71
- energy relative to the lowest polymorph listed for this composition (eV/atom) = 0.000

Cell: 4.5259 4.5259 4.5259 Å, 90.00 90.00 90.00°
With the nearest neighbours (Å) after each atom.
Fractional coordinates of all 5 atoms:
Ni 0.0000 0.0000 0.0000  6 W 2.26
W 0.0000 0.0000 0.5000  2 Ni 2.26
W 0.0000 0.5000 0.0000  2 Ni 2.26
W 0.5000 0.0000 0.0000  2 Ni 2.26
Se 0.5000 0.5000 0.5000  12 W 3.20

Crystalline ErTmSc2Tl4 at its relaxed geometry, computed with PBE.

Values from the calculation:
- raw total energy (eV/atom) = -4.167

Cell: 9.0423 9.0423 9.0423 Å, 33.51 33.51 33.51°
With the nearest neighbours (Å) after each atom.
Fractional coordinates of all 8 atoms:
Er 0.0000 0.0000 0.0000  8 Tl 3.20
Tm 0.5000 0.5000 0.5000  8 Tl 3.19
Sc 0.2499 0.2499 0.2499  8 Tl 3.19-3.21
Sc 0.7501 0.7501 0.7501  8 Tl 3.19-3.21
Tl 0.1252 0.1252 0.1252  4 Sc 3.19, 3 Tm 3.19, 1 Er 3.20
Tl 0.3752 0.3752 0.3752  1 Tm 3.19, 4 Sc 3.19-3.21, 3 Er 3.20
Tl 0.6248 0.6248 0.6248  1 Tm 3.19, 4 Sc 3.19-3.21, 3 Er 3.20
Tl 0.8748 0.8748 0.8748  4 Sc 3.19, 3 Tm 3.19, 1 Er 3.20

Crystalline Ce2TmIn2 at its relaxed geometry, computed with PBE.

Values from the calculation:
- raw total energy (eV/atom) = -4.510

Cell: 9.0232 9.0232 3.5182 Å, 90.00 90.00 90.00°
With the nearest neighbours (Å) after each atom.
Fractional coordinates of all 10 atoms:
Ce 0.1058 0.3942 0.0000  1 Ce 2.70
Ce 0.3942 0.8942 0.0000  1 Ce 2.70
Ce 0.6058 0.1058 0.0000  1 Ce 2.70
Ce 0.8942 0.6058 0.0000  1 Ce 2.70
Tm 0.0000 0.0000 0.0000  2 Tm 3.52, 4 Ce 3.68, 8 In 3.73
Tm 0.5000 0.5000 0.0000  2 Tm 3.52, 4 Ce 3.68, 8 In 3.73
In 0.1877 0.6877 0.5000  6 Ce 3.17-3.26, 2 In 3.52
In 0.3123 0.1877 0.5000  6 Ce 3.17-3.26, 2 In 3.52
In 0.6877 0.8123 0.5000  6 Ce 3.17-3.26, 2 In 3.52
In 0.8123 0.3123 0.5000  6 Ce 3.17-3.26, 2 In 3.52

Crystalline Mn2MoCl at its relaxed geometry, computed with PBE.

Values from the calculation:
- ΔE_f (raw) (eV per atom) = 0.46
- energy relative to the lowest polymorph listed for this composition (eV/atom) = 0.317

Cell: 9.2624 3.0203 4.7732 Å, 90.00 103.04 90.00°
With the nearest neighbours (Å) after each atom.
Fractional coordinates of all 8 atoms:
Mn 0.0000 0.0000 0.0000  2 Cl 2.49-2.55, 3 Mn 2.52-2.65
Mn 0.2221 0.5000 0.0606  1 Cl 2.25, 2 Mo 2.26, 2 Mn 2.52
Mn 0.5000 0.5000 0.0000  2 Cl 2.49-2.55, 3 Mn 2.52-2.65
Mn 0.7221 0.0000 0.0606  1 Cl 2.25, 2 Mo 2.26, 2 Mn 2.52
Mo 0.2389 0.0000 0.7180  2 Mn 2.26
Mo 0.7389 0.5000 0.7180  2 Mn 2.26
Cl 0.4102 0.5000 0.4538  2 Mn 2.25-2.49
Cl 0.9102 0.0000 0.4538  2 Mn 2.25-2.49

Crystalline Y2NbTl at its relaxed geometry, computed with PBE.

Values from the calculation:
- energy relative to the lowest polymorph listed for this composition (eV/atom) = 0.442

Cell: 4.4255 4.4255 21.6766 Å, 90.00 90.00 90.00°
With the nearest neighbours (Å) after each atom.
Fractional coordinates of all 16 atoms:
Y 0.2440 0.2500 0.1250  4 Y 3.09-3.17, 2 Nb 3.12, 2 Tl 3.14
Y 0.2500 0.7440 0.3750  4 Y 3.09-3.17, 2 Nb 3.12, 2 Tl 3.14
Y 0.2500 0.7560 0.8750  4 Y 3.09-3.17, 2 Nb 3.12, 2 Tl 3.14
Y 0.2560 0.2500 0.6250  4 Y 3.09-3.17, 2 Nb 3.12, 2 Tl 3.14
Y 0.7440 0.7500 0.6250  4 Y 3.09-3.17, 2 Nb 3.12, 2 Tl 3.14
Y 0.7500 0.2440 0.8750  4 Y 3.09-3.17, 2 Nb 3.12, 2 Tl 3.14
Y 0.7500 0.2560 0.3750  4 Y 3.09-3.17, 2 Nb 3.12, 2 Tl 3.14
Y 0.7560 0.7500 0.1250  4 Y 3.09-3.17, 2 Nb 3.12, 2 Tl 3.14
Nb 0.0000 0.0000 0.0000  4 Y 3.12, 4 Tl 3.13
Nb 0.0000 0.5000 0.2500  4 Y 3.12, 4 Tl 3.13
Nb 0.5000 0.0000 0.7500  4 Y 3.12, 4 Tl 3.13
Nb 0.5000 0.5000 0.5000  4 Y 3.12, 4 Tl 3.13
Tl 0.0000 0.0000 0.5000  4 Nb 3.13, 4 Y 3.14
Tl 0.0000 0.5000 0.7500  4 Nb 3.13, 4 Y 3.14
Tl 0.5000 0.0000 0.2500  4 Nb 3.13, 4 Y 3.14
Tl 0.5000 0.5000 0.0000  4 Nb 3.13, 4 Y 3.14

Crystalline NaTl3Re at its relaxed geometry, computed with PBE.

Values from the calculation:
- energy relative to the lowest polymorph listed for this composition (eV/atom) = 1.098

Cell: 5.4050 5.4050 5.4050 Å, 90.00 90.00 90.00°
With the nearest neighbours (Å) after each atom.
Fractional coordinates of all 5 atoms:
Na 0.0000 0.0000 0.0000  6 Tl 2.70
Tl 0.0000 0.0000 0.5000  2 Na 2.70
Tl 0.0000 0.5000 0.0000  2 Na 2.70
Tl 0.5000 0.0000 0.0000  2 Na 2.70
Re 0.5000 0.5000 0.5000  12 Tl 3.82

Result set for size of the total moment: 0.000, 0.001, 2.916, 0.000, 0.000, 0.000, 0.000, 0.000, 2.696, 6.295, 0.000, 3.547 μB per cell, one per record in the order listed.